The following is a DFT calculation (PBE-GGA) of a geometry-optimized CoSi2AgRu structure.

Cell: 4.5760 4.5760 4.6569 Å, 90.00 90.00 90.00°
Fractional positions:
Co: 0.0000 0.0000 0.0000
Si: 0.0000 0.5000 0.5000
Si: 0.5000 0.0000 0.5000
Ag: 0.0000 0.0000 0.5000
Ru: 0.5000 0.5000 0.0000

Uncorrected formation energy = 1.6861 eV/atom
Density = 5.52 g cm⁻³
Symmetry = No. 123
DOS(E_F) = 8.413 states/eV per cell